Record 1
The following is a PBE-GGA calculation of an optimized crystal structure of LaHgOs2, from Alexandria.

Values from the calculation:
The total energy comes out at -98.29 eV/cell. Its crystal system is cubic. The calculation puts the formation energy at 0.7788 eV per atom.

POSCAR file:
```
LaHgOs2
1.0
6.870 0.000 0.000
0.000 6.870 0.000
0.000 0.000 6.870
La Hg Os
4 4 8
direct
0.000 0.000 0.000
0.000 0.500 0.500
0.500 0.000 0.500
0.500 0.500 0.000
0.250 0.250 0.750
0.250 0.750 0.250
0.750 0.250 0.250
0.750 0.750 0.750
0.000 0.000 0.500
0.000 0.500 0.000
0.250 0.250 0.250
0.250 0.750 0.750
0.500 0.000 0.000
0.500 0.500 0.500
0.750 0.250 0.750
0.750 0.750 0.250
```



Record 2
The following is a PBE-GGA calculation of an optimized crystal structure of LaHgOs2, from Alexandria.

Values from the calculation:
The total energy comes out at -26.64 eV/cell. Its crystal system is tetragonal. The calculation puts the formation energy at 0.2611 eV per atom.

POSCAR file:
```
LaHgOs2
1.0
2.976 0.000 0.000
0.000 2.976 0.000
0.000 0.000 8.865
La Hg Os
1 1 2
direct
0.000 0.000 0.000
0.500 0.500 0.695
0.000 0.000 0.445
0.500 0.500 0.275
```



Record 3
The following is a PBE-GGA calculation of an optimized crystal structure of La2Hg2Os, from Alexandria.

Values from the calculation:
The total energy comes out at -39.95 eV/cell. Its crystal system is tetragonal. The calculation puts the formation energy at 0.3425 eV per atom.

POSCAR file:
```
La2Hg2Os
1.0
6.042 0.000 0.000
0.000 6.042 0.000
0.000 0.000 7.964
La Hg Os
4 4 2
direct
0.000 0.500 0.250
0.000 0.500 0.750
0.500 0.000 0.250
0.500 0.000 0.750
0.000 0.000 0.165
0.000 0.000 0.835
0.500 0.500 0.335
0.500 0.500 0.665
0.000 0.000 0.500
0.500 0.500 0.000
```



Record 4
The following is a PBE-GGA calculation of an optimized crystal structure of La8HgOs2, from Alexandria.

Values from the calculation:
The total energy comes out at -63.62 eV/cell. Its crystal system is monoclinic. The energy above the most stable polymorph in this dataset comes out at 26 meV per atom. The calculation puts the formation energy at -0.1307 eV per atom.

POSCAR file:
```
La8HgOs2
1.0
4.398 -7.010 0.000
4.398 7.010 0.000
-1.401 0.000 5.627
La Hg Os
8 1 2
direct
0.000 0.000 0.000
0.200 0.200 0.591
0.266 0.519 0.239
0.350 0.845 0.794
0.519 0.266 0.239
0.679 0.931 0.349
0.845 0.350 0.794
0.931 0.679 0.349
0.600 0.600 0.793
0.304 0.895 0.295
0.895 0.304 0.295
```



> Number 1 is which compound?

LaHgOs2